Record 1
A plane-wave DFT calculation with PBE was carried out for Tm3HfSb4 after structural relaxation.

The structure belongs to space group Cmmm (No. 65); the cell edges are 8.5575, 12.0624 and 4.2648 Å and the angles 90.00°, 90.00° and 90.00°. The asymmetric unit holds Tm at (0.0000, 0.0000, 0.0000), Tm at (0.2500, 0.2500, 0.5000), Hf at (0.0000, 0.5000, 0.0000), Sb at (0.0000, 0.2550, 0.0000) and Sb at (0.2405, 0.5000, 0.5000).

Its formation energy (no corrections) is -7.16 eV per formula unit. The calculation puts the total energy at -94.0 eV for the cell shown.

---

Record 2
A plane-wave DFT calculation with PBE was carried out for ZnInBr3 after structural relaxation.

The structure belongs to space group Pm-3m (No. 221); the cell edges are 5.5114, 5.5114 and 5.5114 Å and the angles 90.00°, 90.00° and 90.00°. The asymmetric unit holds Zn at (0.0000, 0.0000, 0.0000), In at (0.5000, 0.5000, 0.5000) and Br at (0.0000, 0.5000, 0.5000).

Its formation energy (no corrections) is -1.57 eV per formula unit. The calculation puts the energy above the lowest structure with this stoichiometry at 0.479 eV per atom. The calculation puts the total energy at -10.6 eV for the cell shown.

---

Record 3
A plane-wave DFT calculation with PBE was carried out for Sb2PbS4 after structural relaxation.

The structure belongs to space group Cmcm (No. 63); the cell edges are 3.9739, 12.9779 and 13.7174 Å and the angles 90.00°, 90.00° and 90.00°. The asymmetric unit holds Sb at (0.0000, 0.1371, 0.0642), Pb at (0.0000, 0.4038, 0.2500), S at (0.0000, 0.0550, 0.2500), S at (0.0000, 0.2284, 0.6138) and S at (0.0000, 0.5000, 0.0000).

Its formation energy (no corrections) is -2.13 eV per formula unit. The calculation puts the total energy at -122.4 eV for the cell shown.

---

Record 4
A plane-wave DFT calculation with PBE was carried out for MgAl2Os after structural relaxation.

The structure belongs to space group Fm-3m (No. 225); the cell edges are 6.2164, 6.2164 and 6.2164 Å and the angles 90.00°, 90.00° and 90.00°. The asymmetric unit holds Mg at (0.0000, 0.0000, 0.0000), Al at (0.2500, 0.2500, 0.2500) and Os at (0.0000, 0.0000, 0.5000).

The formation energy is -0.1985 eV/atom. The calculation puts the energy above the lowest structure with this stoichiometry at 0.040 eV per atom. The calculation puts the total energy at -84.4 eV for the cell shown.

---

Record 5
A plane-wave DFT calculation with PBE was carried out for LaTlFe2 after structural relaxation.

The structure belongs to space group P4mm (No. 99); the cell edges are 3.2681, 3.2681 and 7.6092 Å and the angles 90.00°, 90.00° and 90.00°. The asymmetric unit holds La at (0.0000, 0.0000, 0.0000), Tl at (0.5000, 0.5000, 0.3487), Fe at (0.0000, 0.0000, 0.5944) and Fe at (0.5000, 0.5000, 0.7202).

The formation energy is 0.1752 eV/atom. The calculation puts the energy above the lowest structure with this stoichiometry at 0.000 eV per atom. The calculation puts the total energy at -23.5 eV for the cell shown.

---

Record 6
A plane-wave DFT calculation with PBE was carried out for RbNdPaSe4 after structural relaxation.

The structure belongs to space group Imma (No. 74); the cell edges are 8.8887, 9.1326 and 12.6330 Å and the angles 90.00°, 90.00° and 90.00°. The asymmetric unit holds Rb at (0.0000, 0.2500, 0.1290), Nd at (0.0000, 0.0000, 0.5000), Pa at (0.2500, 0.2500, 0.7500), Se at (0.0000, 0.0471, 0.7361) and Se at (0.2158, 0.2500, 0.5248).

Its formation energy (no corrections) is -10.51 eV per formula unit. The calculation puts the total energy at -158.7 eV for the cell shown.

---

Record 7
A plane-wave DFT calculation with PBE was carried out for NiMo4Br after structural relaxation.

The structure belongs to space group F-43m (No. 216); the cell edges are 7.4359, 7.4359 and 7.4359 Å and the angles 90.00°, 90.00° and 90.00°. The asymmetric unit holds Ni at (0.0000, 0.0000, 0.0000), Mo at (0.1258, 0.1258, 0.3742) and Br at (0.2500, 0.2500, 0.7500).

Its formation energy (no corrections) is 5.70 eV per formula unit. The calculation puts the total energy at -180.3 eV for the cell shown.

---

Record 8
A plane-wave DFT calculation with PBE was carried out for Ni4SnPt after structural relaxation.

The structure belongs to space group C2/m (No. 12); the cell edges are 4.1619, 7.2219 and 5.2878 Å and the angles 90.00°, 90.36° and 90.00°. The asymmetric unit holds Ni at (0.0004, 0.1665, 0.2394), Sn at (0.0000, 0.5000, 0.5000) and Pt at (0.0000, 0.5000, 0.0000).

The formation energy is -0.1044 eV/atom. The calculation puts the energy above the lowest structure with this stoichiometry at 0.000 eV per atom. The calculation puts the total energy at -67.6 eV for the cell shown.

---

Record 9
A plane-wave DFT calculation with PBE was carried out for RbZrAgF6 after structural relaxation.

The structure belongs to space group P-31c (No. 163); the cell edges are 6.2521, 6.2521 and 11.0113 Å and the angles 90.00°, 90.00° and 120.00°. The asymmetric unit holds Rb at (0.0000, 0.0000, 0.0000), Zr at (0.3333, 0.6667, 0.2500), Ag at (0.3333, 0.6667, 0.7500) and F at (0.0552, 0.4024, 0.1458).

Its formation energy (no corrections) is -26.51 eV per formula unit. The calculation puts the total energy at -100.2 eV for the cell shown.

---

Record 10
A plane-wave DFT calculation with PBE was carried out for LaHfNi3 after structural relaxation.

The structure belongs to space group Pm-3m (No. 221); the cell edges are 4.6827, 4.6827 and 4.6827 Å and the angles 90.00°, 90.00° and 90.00°. The asymmetric unit holds La at (0.0000, 0.0000, 0.0000), Hf at (0.5000, 0.5000, 0.5000) and Ni at (0.0000, 0.0000, 0.5000).

The formation energy is 1.0115 eV/atom. The calculation puts the energy above the lowest structure with this stoichiometry at 0.768 eV per atom. The calculation puts the total energy at -27.2 eV for the cell shown.

---

Record 11
A plane-wave DFT calculation with PBE was carried out for MgCuSbPd after structural relaxation.

The structure belongs to space group F-43m (No. 216); the cell edges are 6.5232, 6.5232 and 6.5232 Å and the angles 90.00°, 90.00° and 90.00°. The asymmetric unit holds Mg at (0.0000, 0.0000, 0.0000), Cu at (0.2500, 0.2500, 0.7500), Sb at (0.0000, 0.0000, 0.5000) and Pd at (0.2500, 0.2500, 0.2500).

Its formation energy (no corrections) is -1.15 eV per formula unit. The calculation puts the total energy at -64.6 eV for the cell shown.

---

Record 12
A plane-wave DFT calculation with PBE was carried out for AcPrAsRh after structural relaxation.

The structure belongs to space group F-43m (No. 216); the cell edges are 7.4557, 7.4557 and 7.4557 Å and the angles 90.00°, 90.00° and 90.00°. The asymmetric unit holds Ac at (0.0000, 0.0000, 0.0000), Pr at (0.0000, 0.0000, 0.5000), As at (0.2500, 0.2500, 0.7500) and Rh at (0.2500, 0.2500, 0.2500).

The formation energy is -0.7527 eV/atom. The calculation puts the total energy at -95.6 eV for the cell shown.

---

Record 13
A plane-wave DFT calculation with PBE was carried out for CaNi9As4 after structural relaxation.

The structure belongs to space group I4/mcm (No. 140); the cell edges are 7.9459, 7.9459 and 11.9264 Å and the angles 90.00°, 90.00° and 90.00°. The asymmetric unit holds Ca at (0.0000, 0.0000, 0.2500), Ni at (0.0000, 0.5000, 0.0000), Ni at (0.0731, 0.2021, 0.0000), Ni at (0.1277, 0.3723, 0.1836) and As at (0.1710, 0.3290, 0.3761).

The formation energy is -0.3076 eV/atom. The calculation puts the total energy at -307.8 eV for the cell shown.

---

Record 14
A plane-wave DFT calculation with PBE was carried out for LiYMn2 after structural relaxation.

The structure belongs to space group I4_1/amd (No. 141, origin choice 2); the cell edges are 4.1899, 4.1899 and 17.7843 Å and the angles 90.00°, 90.00° and 90.00°. The asymmetric unit holds Li at (0.0000, 0.2500, 0.3750), Y at (0.0000, 0.2500, 0.8750) and Mn at (0.0000, 0.0000, 0.5000).

The formation energy is 0.7228 eV/atom. The calculation puts the energy above the lowest structure with this stoichiometry at 0.478 eV per atom. The calculation puts the total energy at -95.3 eV for the cell shown.

---

Record 15
A plane-wave DFT calculation with PBE was carried out for CuAgTe2N after structural relaxation.

The structure belongs to space group P4/mmm (No. 123); the cell edges are 5.5295, 5.5295 and 3.4848 Å and the angles 90.00°, 90.00° and 90.00°. The asymmetric unit holds Cu at (0.0000, 0.0000, 0.0000), Ag at (0.5000, 0.5000, 0.5000), Te at (0.0000, 0.5000, 0.0000) and N at (0.0000, 0.0000, 0.5000).

Its formation energy (no corrections) is 3.67 eV per formula unit. The calculation puts the energy above the lowest structure with this stoichiometry at 0.000 eV per atom. The calculation puts the total energy at -17.9 eV for the cell shown.

---

Record 16
A plane-wave DFT calculation with PBE was carried out for KFeCo after structural relaxation.

The structure belongs to space group F-43m (No. 216); the cell edges are 6.7946, 6.7946 and 6.7946 Å and the angles 90.00°, 90.00° and 90.00°. The asymmetric unit holds K at (0.0000, 0.0000, 0.0000), Fe at (0.2500, 0.2500, 0.7500) and Co at (0.2500, 0.2500, 0.2500).

The formation energy is 2.2504 eV/atom. The calculation puts the energy above the lowest structure with this stoichiometry at 1.833 eV per atom. The calculation puts the total energy at -39.7 eV for the cell shown.

---

Record 17
A plane-wave DFT calculation with PBE was carried out for Pu2AgO8 after structural relaxation.

The structure belongs to space group P-1 (No. 2); the cell edges are 6.0187, 6.1166 and 6.1620 Å and the angles 111.00°, 109.92° and 106.79°. The asymmetric unit holds Pu at (0.0093, 0.2525, 0.2613), Ag at (0.5000, 0.0000, 0.5000), O at (0.1774, 0.5368, 0.7090), O at (0.1852, 0.0207, 0.2003), O at (0.2379, 0.9952, 0.7295) and O at (0.2640, 0.5029, 0.2627).

Its formation energy (no corrections) is -19.37 eV per formula unit. The calculation puts the total energy at -90.5 eV for the cell shown.

---

Record 18
A plane-wave DFT calculation with PBE was carried out for SrAlOs3 after structural relaxation.

The structure belongs to space group Pm-3m (No. 221); the cell edges are 4.6226, 4.6226 and 4.6226 Å and the angles 90.00°, 90.00° and 90.00°. The asymmetric unit holds Sr at (0.0000, 0.0000, 0.0000), Al at (0.5000, 0.5000, 0.5000) and Os at (0.0000, 0.5000, 0.5000).

The formation energy is 1.2556 eV/atom. The calculation puts the energy above the lowest structure with this stoichiometry at 0.000 eV per atom. The calculation puts the total energy at -32.8 eV for the cell shown.

---

Record 19
A plane-wave DFT calculation with PBE was carried out for NaLiNi2 after structural relaxation.

The structure belongs to space group Fm-3m (No. 225); the cell edges are 6.0947, 6.0947 and 6.0947 Å and the angles 90.00°, 90.00° and 90.00°. The asymmetric unit holds Na at (0.0000, 0.0000, 0.0000), Li at (0.0000, 0.0000, 0.5000) and Ni at (0.2500, 0.2500, 0.2500).

The formation energy is 0.5515 eV/atom. The calculation puts the energy above the lowest structure with this stoichiometry at 0.057 eV per atom. The calculation puts the total energy at -50.4 eV for the cell shown.

---

Record 20
A plane-wave DFT calculation with PBE was carried out for CaHo6Er2 after structural relaxation.

The structure belongs to space group C2/c (No. 15); the cell edges are 16.9589, 11.6782 and 5.8359 Å and the angles 90.00°, 97.61° and 90.00°. The asymmetric unit holds Ca at (0.0000, 0.1497, 0.2500), Ho at (0.0639, 0.3987, 0.5505), Ho at (0.1096, 0.1090, 0.7902), Ho at (0.2333, 0.1040, 0.3741) and Er at (0.1687, 0.3464, 0.0866).

The formation energy is 0.1274 eV/atom. The calculation puts the total energy at -149.8 eV for the cell shown.